(1)
Entry from Alexandria: crystalline CeNdAs2 at its relaxed geometry (PBE).

The structure in extended XYZ format:
```
12
Lattice="4.172 0.000 0.000 -2.086 3.613 0.000 0.000 0.000 22.006" Properties=species:S:1:pos:R:3 pbc="T T T"
Ce 0.000 0.000 0.000
Ce 0.000 2.409 14.671
Ce 2.086 1.204 7.335
Nd 0.000 0.000 3.785
Nd 0.000 2.409 18.455
Nd 2.086 1.204 11.120
As 0.000 0.000 12.882
As 0.000 0.000 16.550
As 0.000 2.409 5.547
As 0.000 2.409 9.214
As 2.086 1.204 1.879
As 2.086 1.204 20.218
```

## Properties
Energy relative to the elements = -5.226 eV per formula unit
Excess energy over the best structure of this formula in the dataset = 0.1695 eV per atom
SG = No. 160
E = -6.31 eV per atom

---

(2)
Entry from Alexandria: crystalline Ce2NdAs at its relaxed geometry (PBE).

The structure in extended XYZ format:
```
12
Lattice="3.835 0.000 0.000 -1.918 3.321 0.000 0.000 0.000 30.317" Properties=species:S:1:pos:R:3 pbc="T T T"
Ce 0.000 0.000 3.226
Ce 0.000 0.000 27.092
Ce 0.000 2.214 16.986
Ce 0.000 2.214 23.437
Ce 1.918 1.107 6.880
Ce 1.918 1.107 13.331
Nd 0.000 0.000 0.000
Nd 0.000 2.214 20.211
Nd 1.918 1.107 10.106
As 0.000 0.000 15.159
As 0.000 2.214 5.053
As 1.918 1.107 25.264
```

## Properties
Energy relative to the elements = -1.313 eV per formula unit
Excess energy over the best structure of this formula in the dataset = 0.1637 eV per atom
SG = No. 166
E = -5.65 eV per atom

---

(3)
Entry from Alexandria: crystalline Ce5NdAs6 at its relaxed geometry (PBE).

The structure in extended XYZ format:
```
12
Lattice="3.661 -6.342 0.000 3.661 6.342 0.000 -2.440 0.000 6.904" Properties=species:S:1:pos:R:3 pbc="T T T"
Ce 0.000 0.000 0.000
Ce 2.441 4.226 3.452
Ce 3.661 2.105 0.000
Ce 3.661 -2.105 0.000
Ce 2.441 -4.226 3.452
Nd 2.441 0.000 3.452
As 1.209 2.134 1.714
As -0.023 0.000 5.189
As 1.209 -2.134 1.714
As 3.674 2.134 5.191
As 4.906 0.000 1.715
As 3.674 -2.134 5.191
```

## Properties
Energy relative to the elements = -17.279 eV per formula unit
SG = No. 12
E = -6.63 eV per atom

---

(4)
Entry from Alexandria: crystalline CeNdAs2 at its relaxed geometry (PBE).

The structure in extended XYZ format:
```
8
Lattice="4.227 0.000 0.000 -2.113 3.660 0.000 0.000 0.000 13.923" Properties=species:S:1:pos:R:3 pbc="T T T"
Ce 0.000 0.000 0.000
Ce 0.000 0.000 6.961
Nd 0.000 2.440 3.481
Nd 2.113 1.220 10.442
As 0.000 2.440 8.631
As 0.000 2.440 12.253
As 2.113 1.220 1.670
As 2.113 1.220 5.292
```

## Properties
Energy relative to the elements = -5.741 eV per formula unit
Excess energy over the best structure of this formula in the dataset = 0.0408 eV per atom
SG = No. 194
E = -6.44 eV per atom

---

(5)
Entry from Alexandria: crystalline CeNdAs at its relaxed geometry (PBE).

The structure in extended XYZ format:
```
12
Lattice="5.978 0.000 0.000 0.000 5.994 0.000 -0.039 0.000 8.661" Properties=species:S:1:pos:R:3 pbc="T T T"
Ce 0.000 1.424 0.000
Ce 0.000 4.570 0.000
Ce 2.989 1.573 0.000
Ce 2.989 4.421 0.000
Nd 1.479 0.000 3.136
Nd 1.471 2.997 5.526
Nd 4.460 0.000 5.526
Nd 4.468 2.997 3.136
As 1.480 2.997 2.391
As 1.470 0.000 6.271
As 4.469 0.000 2.391
As 4.459 2.997 6.271
```

## Properties
Energy relative to the elements = -2.897 eV per formula unit
SG = No. 12
E = -6.08 eV per atom

---

(6)
Entry from Alexandria: crystalline CeNdAs at its relaxed geometry (PBE).

The structure in extended XYZ format:
```
3
Lattice="4.056 0.000 0.000 -2.028 3.513 0.000 0.000 0.000 6.693" Properties=species:S:1:pos:R:3 pbc="T T T"
Ce 0.000 0.000 0.000
Nd 2.028 1.171 3.150
As 0.000 2.342 4.959
```

## Properties
Energy relative to the elements = -2.291 eV per formula unit
SG = No. 156
E = -5.88 eV per atom

---

(7)
Entry from Alexandria: crystalline Ce3NdAs4 at its relaxed geometry (PBE).

The structure in extended XYZ format:
```
16
Lattice="5.986 0.000 0.000 0.000 5.986 0.000 0.000 0.000 11.969" Properties=species:S:1:pos:R:3 pbc="T T T"
Ce 0.000 0.000 0.000
Ce 0.000 2.993 2.992
Ce 0.000 2.993 8.977
Ce 2.993 0.000 2.992
Ce 2.993 0.000 8.977
Ce 2.993 2.993 5.985
Nd 0.000 0.000 5.985
Nd 2.993 2.993 0.000
As 0.000 0.000 2.960
As 0.000 0.000 9.009
As 0.000 2.993 0.000
As 0.000 2.993 5.985
As 2.993 0.000 0.000
As 2.993 0.000 5.985
As 2.993 2.993 3.025
As 2.993 2.993 8.945
```

## Properties
Energy relative to the elements = -11.572 eV per formula unit
SG = No. 139
E = -6.59 eV per atom

---

(8)
Entry from Alexandria: crystalline CeNdAs2 at its relaxed geometry (PBE).

The structure in extended XYZ format:
```
12
Lattice="4.243 0.000 0.000 -2.121 3.674 0.000 0.000 0.000 20.797" Properties=species:S:1:pos:R:3 pbc="T T T"
Ce 0.000 0.000 0.000
Ce 0.000 2.450 13.865
Ce 2.121 1.225 6.932
Nd 0.000 0.000 10.399
Nd 0.000 2.450 3.466
Nd 2.121 1.225 17.331
As 0.000 0.000 5.242
As 0.000 0.000 15.556
As 0.000 2.450 8.623
As 0.000 2.450 19.107
As 2.121 1.225 1.691
As 2.121 1.225 12.174
```

## Properties
Energy relative to the elements = -5.904 eV per formula unit
Excess energy over the best structure of this formula in the dataset = 0.0000 eV per atom
SG = No. 166
E = -6.48 eV per atom

---

Which of these has the highest energy relative to the elements?
Ce2NdAs

---

What did the sixth record say?
Entry from Alexandria: crystalline CeNdAs at its relaxed geometry (PBE).

The structure in extended XYZ format:
```
3
Lattice="4.056 0.000 0.000 -2.028 3.513 0.000 0.000 0.000 6.693" Properties=species:S:1:pos:R:3 pbc="T T T"
Ce 0.000 0.000 0.000
Nd 2.028 1.171 3.150
As 0.000 2.342 4.959
```

## Properties
Energy relative to the elements = -2.291 eV per formula unit
SG = No. 156
E = -5.88 eV per atom

---

Look up the E of the second one.
-5.65 eV per atom